# 1
The following is a PBEsol calculation of a geometry-optimized K2CrSi structure, from Alexandria.

Properties
The calculation puts the formation energy (no corrections) at 776 meV per atom. The magnetization is 16.0 Bohr magnetons per cell. The calculation puts the calculated volume at 24.941 Å³/atom.

Lattice parameters (Å, degrees): 7.3623 7.3623 7.3623 90.00 90.00 90.00
With the nearest neighbours (Å) after each atom.
Sites, in units of the cell vectors:
K 0.0000 0.0000 0.0000  4 K 3.19, 4 Si 3.19
K 0.0000 0.5000 0.5000  4 K 3.19, 4 Si 3.19
K 0.2500 0.2500 0.2500  4 Cr 3.19, 4 K 3.19
K 0.2500 0.7500 0.7500  4 Cr 3.19, 4 K 3.19
K 0.5000 0.0000 0.5000  4 K 3.19, 4 Si 3.19
K 0.5000 0.5000 0.0000  4 K 3.19, 4 Si 3.19
K 0.7500 0.2500 0.7500  4 Cr 3.19, 4 K 3.19
K 0.7500 0.7500 0.2500  4 Cr 3.19, 4 K 3.19
Cr 0.0000 0.0000 0.5000  4 K 3.19, 4 Si 3.19
Cr 0.0000 0.5000 0.0000  4 K 3.19, 4 Si 3.19
Cr 0.5000 0.0000 0.0000  4 K 3.19, 4 Si 3.19
Cr 0.5000 0.5000 0.5000  4 K 3.19, 4 Si 3.19
Si 0.2500 0.2500 0.7500  4 Cr 3.19, 4 K 3.19
Si 0.2500 0.7500 0.2500  4 Cr 3.19, 4 K 3.19
Si 0.7500 0.2500 0.2500  4 Cr 3.19, 4 K 3.19
Si 0.7500 0.7500 0.7500  4 Cr 3.19, 4 K 3.19

***

# 2
The following is a PBEsol calculation of a geometry-optimized K2CrSi structure, from Alexandria.

Properties
The calculation puts the formation energy (no corrections) at 408 meV per atom. The magnetization is 2.8 Bohr magnetons per cell. The calculation puts the calculated volume at 29.959 Å³/atom.

Lattice parameters (Å, degrees): 3.2282 3.6925 10.0563 90.00 91.37 90.00
With the nearest neighbours (Å) after each atom.
Sites, in units of the cell vectors:
K 0.0000 0.0000 0.0000  2 K 3.23, 2 Cr 3.46-3.47, 2 Si 3.52
K 0.4512 0.5000 0.3984  2 K 3.23, 2 Si 3.45, 2 Cr 3.51
Cr 0.4746 0.0000 0.6949  4 Si 2.45
Si 0.9750 0.5000 0.7016  4 Cr 2.45

***

# 3
The following is a PBEsol calculation of a geometry-optimized KCr2SnTe structure, from Alexandria.

Properties
The calculation puts the formation energy (no corrections) at 1707 meV per atom. The magnetization is 10.2 Bohr magnetons per cell. The calculation puts the calculated volume at 31.789 Å³/atom.

Lattice parameters (Å, degrees): 5.2242 5.2242 5.8237 90.00 90.00 90.00
With the nearest neighbours (Å) after each atom.
Sites, in units of the cell vectors:
K 0.0000 0.0000 0.0000  4 Cr 2.61, 2 Te 2.91
Cr 0.0000 0.5000 0.0000  2 K 2.61
Cr 0.5000 0.0000 0.0000  2 K 2.61
Sn 0.5000 0.5000 0.5000  4 Te 3.69, 8 Cr 3.91
Te 0.0000 0.0000 0.5000  2 K 2.91

***

# 4
The following is a PBEsol calculation of a geometry-optimized KSrCr structure, from Alexandria.

Properties
For the calculated formation energy, the calculation gives 0.851 eV/atom. The magnetization is 10.1 Bohr magnetons per cell. The calculation puts the calculated volume at 41.566 Å³/atom.

Lattice parameters (Å, degrees): 4.0023 4.0023 15.5689 90.00 90.00 90.00
With the nearest neighbours (Å) after each atom.
Sites, in units of the cell vectors:
K 0.0000 0.0000 0.0000  4 Cr 3.69, 4 K 4.00
K 0.5000 0.5000 0.5000  4 Cr 3.69, 4 K 4.00
Sr 0.0000 0.0000 0.7290  4 Cr 3.38
Sr 0.5000 0.5000 0.2290  4 Cr 3.38
Cr 0.0000 0.0000 0.3476  4 Sr 3.38, 4 K 3.69
Cr 0.5000 0.5000 0.8476  4 Sr 3.38, 4 K 3.69

***

| no. | ρ (g/cm³) | Fermi-level density of states (states/eV/f.u.) |
| --- | --- | --- |
| 1 | 2.63 | 2.52 |
| 2 | 2.19 | 2.05 |
| 3 | 4.07 | 2.25 |
| 4 | 2.38 | 2.32 |